TbDyTcAu | PBE-GGA | relaxed

Structure (POSCAR):
```
TbDyTcAu
1.0
0.0000 3.5097 3.5097
3.5097 0.0000 3.5097
3.5097 3.5097 0.0000
Tb Dy Tc Au
1 1 1 1
direct
0.0000 0.0000 0.0000
0.5000 0.5000 0.5000
0.7500 0.7500 0.7500
0.2500 0.2500 0.2500
```

## Properties
* uncorrected energy: -6.069 eV per atom
* calculated formation energy: -0.3500 eV/atom